This record from Alexandria via LeMat-Bulk describes a relaxed LaScTa2 crystal. The functional is PBE.

Calculated values
For the size of the total moment, the calculation gives 0.00 μB/f.u. The calculation puts the density of states at the Fermi level at 4.10 states/eV/f.u. The value obtained for the calculated formation energy is 11.81 kcal/mol of atoms. As for the density: 10.15 g/cm³. The electronic total energy comes out at -8.23 eV/atom. The polymorph energy (0 for the lowest one) comes out at 305 meV per atom.

Structure (POSCAR):
```
LaScTa2
1.0
4.274 0.000 0.000
0.000 4.274 0.000
0.000 0.000 4.887
La Sc Ta
1 1 2
Cartesian
0.000 0.000 0.000
2.137 2.137 0.000
0.000 2.137 2.443
2.137 0.000 2.443
```